#i
A PBEsol-optimized structure of Ba2TcRh, computed with SCAN.

* N(E_F): 2.7 states/eV/f.u.
* symmetry: No. 166

```
Ba2TcRh
1.0
1.755 1.013 9.448
-1.755 1.013 9.448
0.000 -2.027 9.448
Ba Tc Rh
2 1 1
Direct
0.246 0.246 0.246 Ba
0.754 0.754 0.754 Ba
0.000 0.000 0.000 Tc
0.500 0.500 0.500 Rh
```

---

#ii
A PBEsol-optimized structure of Ba2TcRh, computed with SCAN.

* N(E_F): 2.4 states/eV/f.u.
* symmetry: No. 123

```
Ba2TcRh
1.0
3.454 0.000 0.000
0.000 3.454 0.000
0.000 0.000 8.603
Ba Tc Rh
2 1 1
Direct
0.000 0.000 0.234 Ba
0.000 0.000 0.766 Ba
0.500 0.500 0.500 Tc
0.500 0.500 0.000 Rh
```

---

Stability, highest: #ii

---

#i
A PBEsol-optimized structure of BaTe2Rh, computed with SCAN.

* N(E_F): 1.6 states/eV/f.u.
* symmetry: No. 166

```
BaTe2Rh
1.0
2.017 1.165 9.406
-2.017 1.165 9.406
0.000 -2.329 9.406
Ba Te Rh
1 2 1
Direct
0.000 0.000 0.000 Ba
0.121 0.121 0.121 Te
0.879 0.879 0.879 Te
0.500 0.500 0.500 Rh
```

---

#ii
A PBEsol-optimized structure of BaTe2Rh, computed with SCAN.

* N(E_F): 2.2 states/eV/f.u.
* symmetry: No. 8

```
BaTe2Rh
1.0
5.620 -2.018 0.000
5.620 2.018 0.000
-2.534 0.000 5.264
Ba Te Rh
1 2 1
Direct
0.000 0.000 0.000 Ba
0.640 0.640 0.688 Te
0.813 0.813 0.354 Te
0.236 0.236 0.547 Rh
```

---

#iii
A PBEsol-optimized structure of BaTe2Rh, computed with SCAN.

* N(E_F): 2.0 states/eV/f.u.
* symmetry: No. 71

```
BaTe2Rh
1.0
-2.010 3.164 4.549
2.010 -3.164 4.549
2.010 3.164 -4.549
Ba Te Rh
1 2 1
Direct
0.000 0.000 0.000 Ba
0.319 0.819 0.500 Te
0.681 0.181 0.500 Te
0.500 0.500 0.000 Rh
```

---

#iv
A PBEsol-optimized structure of BaTe2Rh, computed with SCAN.

* N(E_F): 0.9 states/eV/f.u.
* symmetry: No. 65

```
BaTe2Rh
1.0
3.201 -4.370 0.000
3.201 4.370 0.000
0.000 0.000 4.124
Ba Te Rh
1 2 1
Direct
0.000 0.000 0.000 Ba
0.316 0.684 0.500 Te
0.684 0.316 0.500 Te
0.500 0.500 0.000 Rh
```

---

Stability, highest: #iv

---

#i
A PBEsol-optimized structure of Ba2RhW, computed with SCAN.

* N(E_F): 3.2 states/eV/f.u.
* symmetry: No. 139

```
Ba2RhW
1.0
-2.350 2.350 4.660
2.350 -2.350 4.660
2.350 2.350 -4.660
Ba Rh W
2 1 1
Direct
0.250 0.750 0.500 Ba
0.750 0.250 0.500 Ba
0.000 0.000 0.000 Rh
0.500 0.500 0.000 W
```

---

#ii
A PBEsol-optimized structure of Ba2RhW, computed with SCAN.

* N(E_F): 2.0 states/eV/f.u.
* symmetry: No. 123

```
Ba2RhW
1.0
4.843 0.000 0.000
0.000 4.843 0.000
0.000 0.000 4.514
Ba Rh W
2 1 1
Direct
0.000 0.500 0.000 Ba
0.500 0.000 0.000 Ba
0.000 0.000 0.500 Rh
0.500 0.500 0.500 W
```

---

Stability, highest: #ii

---

#i
A PBEsol-optimized structure of BaY2Rh, computed with SCAN.

* N(E_F): 3.4 states/eV/f.u.
* symmetry: No. 71

```
BaY2Rh
1.0
-1.840 2.998 5.474
1.840 -2.998 5.474
1.840 2.998 -5.474
Ba Y Rh
1 2 1
Direct
0.000 0.000 0.000 Ba
0.318 0.818 0.500 Y
0.682 0.182 0.500 Y
0.500 0.500 0.000 Rh
```

---

#ii
A PBEsol-optimized structure of BaY2Rh, computed with SCAN.

* N(E_F): 4.3 states/eV/f.u.
* symmetry: No. 47

```
BaY2Rh
1.0
4.390 0.000 0.000
0.000 4.774 0.000
0.000 0.000 5.083
Ba Y Rh
1 2 1
Direct
0.000 0.000 0.000 Ba
0.000 0.500 0.500 Y
0.500 0.000 0.500 Y
0.500 0.500 0.000 Rh
```

---

#iii
A PBEsol-optimized structure of BaY2Rh, computed with SCAN.

* N(E_F): 3.9 states/eV/f.u.
* symmetry: No. 12

```
BaY2Rh
1.0
3.236 -5.018 0.000
3.236 5.018 0.000
-1.291 0.000 3.194
Ba Y Rh
1 2 1
Direct
0.000 0.000 0.000 Ba
0.000 0.500 0.500 Y
0.500 0.000 0.500 Y
0.500 0.500 0.000 Rh
```

---

Stability, highest: #i

---

#i
A PBEsol-optimized structure of BaRuSe2, computed with SCAN.

* N(E_F): 2.5 states/eV/f.u.
* symmetry: No. 71

```
BaRuSe2
1.0
-1.934 3.083 4.076
1.934 -3.083 4.076
1.934 3.083 -4.076
Ba Ru Se
1 1 2
Direct
0.000 0.000 0.000 Ba
0.500 0.500 0.000 Ru
0.317 0.817 0.500 Se
0.683 0.183 0.500 Se
```

---

#ii
A PBEsol-optimized structure of BaRuSe2, computed with SCAN.

* symmetry: No. 160

```
BaRuSe2
1.0
2.014 1.163 6.480
-2.014 1.163 6.480
0.000 -2.325 6.480
Ba Ru Se
1 1 2
Direct
0.000 0.000 0.000 Ba
0.823 0.823 0.823 Ru
0.215 0.215 0.215 Se
0.439 0.439 0.439 Se
```

---

Stability, highest: #ii

---

#i
A PBEsol-optimized structure of BaSr2Ru, computed with SCAN.

* N(E_F): 4.2 states/eV/f.u.
* symmetry: No. 166

```
BaSr2Ru
1.0
1.957 1.130 11.291
-1.957 1.130 11.291
0.000 -2.260 11.291
Ba Sr Ru
1 2 1
Direct
0.000 0.000 0.000 Ba
0.223 0.223 0.223 Sr
0.777 0.777 0.777 Sr
0.500 0.500 0.500 Ru
```

---

#ii
A PBEsol-optimized structure of BaSr2Ru, computed with SCAN.

* N(E_F): 4.1 states/eV/f.u.
* symmetry: No. 123

```
BaSr2Ru
1.0
3.681 0.000 0.000
0.000 3.681 0.000
0.000 0.000 10.492
Ba Sr Ru
1 2 1
Direct
0.000 0.000 0.000 Ba
0.500 0.500 0.338 Sr
0.500 0.500 0.662 Sr
0.000 0.000 0.500 Ru
```

---

Stability, highest: #ii